DFT (PBE-GGA) results for crystalline OsPbW2 at its relaxed geometry.

Lattice parameters (Å, degrees): 2.886 3.871 6.784 90.00 95.70 90.00
Sites, in units of the cell vectors:
Os  0.000  0.000  0.000
Pb  0.000  0.000  0.500
W  0.463  0.500  0.811
W  0.537  0.500  0.189

Summary:
Space group: No. 10
Density: 16.85 g/cm3
Spin magnetization: 0.00 Bohr magnetons per cell
Energy: -9.508 eV/atom